The following is a PBE calculation of a relaxed Pm5Ag2Au crystal, from Alexandria via LeMat-Bulk.

Properties
Energy relative to the elements   -0.287 eV per atom
SG   I4/mcm

Lattice parameters (Å, degrees): 9.664 9.664 9.664 134.24 134.24 66.71
Element x y z (fractional)
1 Pm 0.000 0.000 0.000
2 Pm 0.014 0.514 0.836
3 Pm 0.178 0.014 0.500
4 Pm 0.322 0.822 0.836
5 Pm 0.486 0.322 0.500
6 Pm 0.500 0.500 0.000
7 Pm 0.514 0.678 0.500
8 Pm 0.678 0.178 0.164
9 Pm 0.822 0.986 0.500
10 Pm 0.986 0.486 0.164
11 Ag 0.129 0.371 0.500
12 Ag 0.371 0.871 0.242
13 Ag 0.629 0.129 0.758
14 Ag 0.871 0.629 0.500
15 Au 0.250 0.250 0.000
16 Au 0.750 0.750 0.000



The following is a PBE calculation of a relaxed Na2LaTiF8 crystal, from Alexandria via LeMat-Bulk.

Properties
Total DFT energy (no corrections)   -71.039 eV/cell
SG   P2/m

Lattice parameters (Å, degrees): 4.448 7.285 5.437 90.00 91.29 90.00
Element x y z (fractional)
1 Na 0.000 0.232 0.000
2 Na 0.000 0.768 0.000
3 La 0.500 0.500 0.500
4 Ti 0.500 0.000 0.500
5 F 0.073 0.500 0.250
6 F 0.162 0.000 0.277
7 F 0.371 0.221 0.712
8 F 0.371 0.779 0.712
9 F 0.629 0.221 0.288
10 F 0.629 0.779 0.288
11 F 0.838 0.000 0.723
12 F 0.927 0.500 0.750



| no. | total moment (μB/cell) |
| --- | --- |
| 1 | 0.00 |
| 2 | 1.00 |